{
  "formula": "AgHg2As",
  "functional": "GGA-PBE",
  "state": "optimized geometry",
  "lattice_angstrom": [[-2.653, 3.112, -3.207], [1.331, -1.340, -2.402], [-4.666, -3.224, 0.731]],
  "species": ["Ag", "Hg", "Hg", "As"],
  "frac_coords": [[0.500, 0.250, 0.250], [0.000, 0.947, 0.009], [0.000, 0.553, 0.491], [0.500, 0.750, 0.750]],
  "volume_a3_per_cell": 88.82,
  "delta_e_f_ev_per_atom": 0.24,
  "magmom_total_mub_per_cell": 0.00,
  "crystal_system": "monoclinic"
}

{
  "formula": "Al8CoCu2",
  "functional": "GGA-PBE",
  "state": "optimized geometry",
  "lattice_angstrom": [[-0.099, -4.096, 0.168], [2.571, 0.122, 4.486], [-7.992, 2.315, 1.696]],
  "species": ["Al", "Al", "Al", "Al", "Al", "Al", "Al", "Al", "Cu", "Cu", "Co"],
  "frac_coords": [[0.409, 0.551, 0.817], [0.972, 0.218, 0.943], [0.354, 0.004, 0.708], [0.229, 0.307, 0.457], [0.591, 0.449, 0.183], [0.646, 0.996, 0.292], [0.771, 0.693, 0.543], [0.028, 0.782, 0.057], [0.819, 0.267, 0.638], [0.181, 0.733, 0.362], [0.500, 0.000, 0.000]],
  "polymorph_energy_ev_per_atom": 0.000,
  "volume_a3_per_cell": 166.86,
  "delta_e_f_ev_per_atom": -0.17,
  "magmom_total_mub_per_cell": 0.00,
  "crystal_system": "monoclinic"
}

{
  "formula": "Pr2HfZr",
  "functional": "GGA-PBE",
  "state": "optimized geometry",
  "lattice_angstrom": [[3.326, 0.000, 0.000], [1.663, 2.880, 0.000], [1.663, 0.960, 11.905]],
  "species": ["Zr", "Hf", "Pr", "Pr"],
  "frac_coords": [[0.500, 0.500, 0.500], [0.000, 0.000, 0.000], [0.089, 0.089, 0.734], [0.911, 0.911, 0.266]],
  "volume_a3_per_cell": 114.02,
  "delta_e_f_ev_per_atom": 0.42,
  "magmom_total_mub_per_cell": 0.00,
  "crystal_system": "trigonal"
}

{
  "formula": "LiSb2",
  "functional": "GGA-PBE",
  "state": "optimized geometry",
  "lattice_angstrom": [[-3.090, 2.317, -6.114], [1.364, -5.465, 4.536], [-4.496, 1.114, 2.695]],
  "species": ["Sb", "Sb", "Sb", "Sb", "Li", "Li"],
  "frac_coords": [[0.126, 0.874, 0.750], [0.552, 0.448, 0.250], [0.874, 0.126, 0.250], [0.448, 0.552, 0.750], [0.784, 0.216, 0.750], [0.216, 0.784, 0.250]],
  "polymorph_energy_ev_per_atom": 0.148,
  "volume_a3_per_cell": 146.25,
  "magmom_total_mub_per_cell": 0.00,
  "crystal_system": "orthorhombic",
  "raw_formation_energy_ev_per_atom": -0.094
}

{
  "formula": "CsMn2AgBr8",
  "functional": "GGA-PBE",
  "state": "optimized geometry",
  "lattice_angstrom": [[7.001, 0.000, 0.000], [-3.501, 6.063, 0.000], [0.000, 0.000, 9.907]],
  "species": ["Br", "Br", "Br", "Br", "Br", "Br", "Br", "Br", "Ag", "Cs", "Mn", "Mn"],
  "frac_coords": [[0.986, 0.674, 0.330], [0.014, 0.326, 0.670], [0.326, 0.312, 0.330], [0.674, 0.688, 0.670], [0.333, 0.667, 0.977], [0.688, 0.014, 0.330], [0.667, 0.333, 0.023], [0.312, 0.986, 0.670], [0.000, 0.000, 0.500], [0.000, 0.000, 0.000], [0.333, 0.667, 0.738], [0.667, 0.333, 0.262]],
  "volume_a3_per_cell": 420.59,
  "magmom_total_mub_per_cell": 8.00,
  "crystal_system": "trigonal",
  "raw_formation_energy_ev_per_atom": -0.768
}

{
  "formula": "RbCdPb2",
  "functional": "GGA-PBE",
  "state": "optimized geometry",
  "lattice_angstrom": [[3.972, 0.000, 0.000], [0.000, 3.972, 0.000], [0.000, 0.000, 8.618]],
  "species": ["Rb", "Pb", "Pb", "Cd"],
  "frac_coords": [[0.500, 0.500, 0.500], [0.000, 0.000, 0.189], [0.000, 0.000, 0.811], [0.500, 0.500, 0.000]],
  "volume_a3_per_cell": 135.98,
  "delta_e_f_ev_per_atom": -0.06,
  "magmom_total_mub_per_cell": 0.00,
  "crystal_system": "tetragonal"
}

{
  "formula": "Ta2AlSi",
  "functional": "GGA-PBE",
  "state": "optimized geometry",
  "lattice_angstrom": [[-2.058, -0.985, -1.736], [-0.628, -3.008, 2.452], [-3.880, 3.117, 2.831]],
  "species": ["Al", "Ta", "Ta", "Si"],
  "frac_coords": [[0.500, 0.500, 0.250], [0.000, 0.000, 0.504], [0.000, 0.000, 0.996], [0.500, 0.500, 0.750]],
  "polymorph_energy_ev_per_atom": 0.089,
  "volume_a3_per_cell": 64.53,
  "magmom_total_mub_per_cell": 0.00,
  "crystal_system": "orthorhombic",
  "raw_formation_energy_ev_per_atom": -0.141
}

{
  "formula": "Ce3Ho2ThN6",
  "functional": "GGA-PBE",
  "state": "optimized geometry",
  "lattice_angstrom": [[-3.095, 0.613, 5.271], [5.593, -2.540, 0.000], [1.547, 5.880, -0.966]],
  "species": ["Ce", "Ce", "Ce", "Ho", "Ho", "N", "N", "N", "N", "N", "N", "Th"],
  "frac_coords": [[0.832, 0.168, 0.500], [0.168, 0.832, 0.500], [0.500, 0.500, 0.500], [0.334, 0.666, 0.000], [0.666, 0.334, 0.000], [0.420, 0.082, 0.246], [0.082, 0.420, 0.246], [0.580, 0.918, 0.754], [0.743, 0.743, 0.245], [0.918, 0.580, 0.754], [0.257, 0.257, 0.755], [0.000, 0.000, 0.000]],
  "volume_a3_per_cell": 189.79,
  "magmom_total_mub_per_cell": 0.68,
  "crystal_system": "monoclinic",
  "raw_formation_energy_ev_per_atom": -1.584
}

{
  "formula": "Al2NiPb",
  "functional": "GGA-PBE",
  "state": "optimized geometry",
  "lattice_angstrom": [[-0.379, 3.422, 2.796], [2.337, -2.227, 3.042], [8.027, 3.854, -0.112]],
  "species": ["Al", "Al", "Al", "Al", "Pb", "Pb", "Ni", "Ni"],
  "frac_coords": [[0.375, 0.470, 0.750], [0.530, 0.125, 0.250], [0.875, 0.780, 0.750], [0.220, 0.625, 0.250], [0.000, 0.000, 0.000], [0.750, 0.250, 0.500], [0.250, 0.750, 0.500], [0.500, 0.500, 0.000]],
  "volume_a3_per_cell": 163.96,
  "delta_e_f_ev_per_atom": 0.17,
  "magmom_total_mub_per_cell": 0.00,
  "crystal_system": "tetragonal"
}

{
  "formula": "TaBePb2",
  "functional": "GGA-PBE",
  "state": "optimized geometry",
  "lattice_angstrom": [[-1.162, -2.771, -1.108], [2.523, -0.669, 1.856], [-5.205, -0.565, 6.871]],
  "species": ["Be", "Pb", "Pb", "Ta"],
  "frac_coords": [[0.500, 0.500, 0.750], [0.000, 0.000, 0.522], [0.000, 0.000, 0.978], [0.500, 0.500, 0.250]],
  "volume_a3_per_cell": 84.36,
  "delta_e_f_ev_per_atom": 0.79,
  "magmom_total_mub_per_cell": 0.00,
  "crystal_system": "orthorhombic"
}

{
  "formula": "Sn2GeTe2",
  "functional": "GGA-PBE",
  "state": "optimized geometry",
  "lattice_angstrom": [[8.181, 0.000, 0.000], [0.000, 8.181, 0.000], [0.000, 0.000, 4.357]],
  "species": ["Te", "Te", "Te", "Te", "Sn", "Sn", "Sn", "Sn", "Ge", "Ge"],
  "frac_coords": [[0.332, 0.168, 0.500], [0.668, 0.832, 0.500], [0.832, 0.332, 0.500], [0.168, 0.668, 0.500], [0.849, 0.651, 0.000], [0.349, 0.849, 0.000], [0.651, 0.151, 0.000], [0.151, 0.349, 0.000], [0.500, 0.500, 0.000], [0.000, 0.000, 0.000]],
  "polymorph_energy_ev_per_atom": 0.026,
  "volume_a3_per_cell": 291.61,
  "magmom_total_mub_per_cell": 0.00,
  "crystal_system": "tetragonal",
  "raw_formation_energy_ev_per_atom": 0.131
}

{
  "formula": "YbAu3",
  "functional": "GGA-PBE",
  "state": "optimized geometry",
  "lattice_angstrom": [[5.017, 0.000, 0.000], [0.000, 5.300, 0.000], [0.000, 0.000, 6.121]],
  "species": ["Au", "Au", "Au", "Au", "Au", "Au", "Yb", "Yb"],
  "frac_coords": [[0.000, 0.835, 0.253], [0.000, 0.320, 0.500], [0.500, 0.165, 0.753], [0.500, 0.165, 0.247], [0.000, 0.835, 0.747], [0.500, 0.680, 0.000], [0.500, 0.659, 0.500], [0.000, 0.341, 0.000]],
  "volume_a3_per_cell": 162.76,
  "delta_e_f_ev_per_atom": -0.61,
  "magmom_total_mub_per_cell": 0.51,
  "crystal_system": "orthorhombic"
}

{
  "formula": "MgZnIrPd",
  "functional": "GGA-PBE",
  "state": "optimized geometry",
  "lattice_angstrom": [[-2.168, 1.984, 1.130], [-3.038, -2.076, -2.182], [-0.643, -2.647, 3.414]],
  "species": ["Ir", "Pd", "Mg", "Zn"],
  "frac_coords": [[0.000, 0.500, 0.500], [0.000, 0.000, 0.000], [0.500, 0.500, 0.000], [0.500, 0.000, 0.500]],
  "volume_a3_per_cell": 58.84,
  "delta_e_f_ev_per_atom": -0.47,
  "magmom_total_mub_per_cell": 0.00,
  "crystal_system": "orthorhombic"
}

{
  "formula": "Ca2CdHg6",
  "functional": "GGA-PBE",
  "state": "optimized geometry",
  "lattice_angstrom": [[-4.116, 0.296, -1.646], [0.729, -6.954, -3.073], [-2.889, 0.645, 7.340]],
  "species": ["Hg", "Hg", "Hg", "Hg", "Hg", "Hg", "Ca", "Ca", "Cd"],
  "frac_coords": [[0.500, 0.291, 0.000], [0.000, 0.549, 0.709], [0.000, 0.841, 0.291], [0.000, 0.451, 0.291], [0.500, 0.709, 0.000], [0.000, 0.159, 0.709], [0.500, 0.794, 0.588], [0.500, 0.206, 0.412], [0.000, 0.000, 0.000]],
  "polymorph_energy_ev_per_atom": 0.000,
  "volume_a3_per_cell": 235.24,
  "delta_e_f_ev_per_atom": -0.29,
  "magmom_total_mub_per_cell": 0.00,
  "crystal_system": "orthorhombic"
}

{
  "formula": "PrTh3Bi4",
  "functional": "GGA-PBE",
  "state": "optimized geometry",
  "lattice_angstrom": [[4.600, -0.057, 0.078], [0.058, 7.664, 2.232], [-0.129, 0.439, 7.969]],
  "species": ["Th", "Th", "Th", "Bi", "Bi", "Bi", "Bi", "Pr"],
  "frac_coords": [[0.000, 0.500, 0.500], [0.000, 0.000, 0.000], [0.500, 0.000, 0.500], [0.500, 0.751, 0.250], [0.000, 0.752, 0.748], [0.000, 0.249, 0.251], [0.500, 0.250, 0.750], [0.500, 0.500, 0.000]],
  "volume_a3_per_cell": 276.54,
  "delta_e_f_ev_per_atom": -0.66,
  "magmom_total_mub_per_cell": 0.00,
  "crystal_system": "orthorhombic"
}

{
  "formula": "TlCrBr2",
  "functional": "GGA-PBE",
  "state": "optimized geometry",
  "lattice_angstrom": [[3.647, 0.000, 0.000], [0.000, 3.647, 0.000], [0.000, 0.000, 7.978]],
  "species": ["Tl", "Br", "Br", "Cr"],
  "frac_coords": [[0.500, 0.500, 0.750], [0.000, 0.000, 0.038], [0.000, 0.000, 0.462], [0.500, 0.500, 0.250]],
  "polymorph_energy_ev_per_atom": 0.181,
  "volume_a3_per_cell": 106.12,
  "magmom_total_mub_per_cell": 5.00,
  "crystal_system": "tetragonal",
  "raw_formation_energy_ev_per_atom": -0.201
}

{
  "formula": "LiTa2Br",
  "functional": "GGA-PBE",
  "state": "optimized geometry",
  "lattice_angstrom": [[-3.348, -0.812, -6.270], [-6.211, -2.355, -2.657], [3.938, 3.862, 4.556]],
  "species": ["Ta", "Ta", "Br", "Li"],
  "frac_coords": [[0.547, 0.547, 0.000], [0.953, 0.953, 0.000], [0.750, 0.250, 0.500], [0.250, 0.750, 0.500]],
  "polymorph_energy_ev_per_atom": 0.190,
  "volume_a3_per_cell": 79.35,
  "magmom_total_mub_per_cell": 0.00,
  "crystal_system": "orthorhombic",
  "raw_formation_energy_ev_per_atom": 0.248
}

{
  "formula": "LiFe2W",
  "functional": "GGA-PBE",
  "state": "optimized geometry",
  "lattice_angstrom": [[4.131, 0.000, 0.000], [2.066, 3.578, 0.000], [2.066, 1.193, 3.373]],
  "species": ["Fe", "Fe", "Li", "W"],
  "frac_coords": [[0.000, 0.000, 0.000], [0.250, 0.250, 0.250], [0.500, 0.500, 0.500], [0.750, 0.750, 0.750]],
  "volume_a3_per_cell": 49.86,
  "delta_e_f_ev_per_atom": 0.36,
  "magmom_total_mub_per_cell": 4.50,
  "crystal_system": "cubic"
}

{
  "formula": "Tb8Ag3Bi2",
  "functional": "GGA-PBE",
  "state": "optimized geometry",
  "lattice_angstrom": [[0.796, -4.979, 3.761], [2.345, -4.504, -6.458], [6.004, 4.537, 4.242]],
  "species": ["Tb", "Tb", "Tb", "Tb", "Tb", "Tb", "Tb", "Tb", "Ag", "Ag", "Ag", "Bi", "Bi"],
  "frac_coords": [[0.644, 0.599, 0.782], [0.644, 0.183, 0.782], [0.884, 0.178, 0.357], [0.863, 0.586, 0.171], [0.356, 0.817, 0.218], [0.116, 0.822, 0.643], [0.356, 0.401, 0.218], [0.137, 0.414, 0.829], [0.000, 0.830, 0.000], [0.500, 0.000, 0.000], [0.000, 0.170, 0.000], [0.387, 0.241, 0.483], [0.613, 0.759, 0.517]],
  "volume_a3_per_cell": 392.46,
  "delta_e_f_ev_per_atom": -0.20,
  "magmom_total_mub_per_cell": 0.00,
  "crystal_system": "monoclinic"
}

{
  "formula": "RbPuS3",
  "functional": "GGA-PBE",
  "state": "optimized geometry",
  "lattice_angstrom": [[5.199, 0.000, 0.000], [0.000, 5.199, 0.000], [0.000, 0.000, 5.199]],
  "species": ["Pu", "Rb", "S", "S", "S"],
  "frac_coords": [[0.000, 0.000, 0.000], [0.500, 0.500, 0.500], [0.500, 0.000, 0.000], [0.000, 0.000, 0.500], [0.000, 0.500, 0.000]],
  "volume_a3_per_cell": 140.56,
  "magmom_total_mub_per_cell": 3.00,
  "crystal_system": "cubic",
  "raw_formation_energy_ev_per_atom": -1.229
}

{
  "formula": "Be2MoPd",
  "functional": "GGA-PBE",
  "state": "optimized geometry",
  "lattice_angstrom": [[-2.712, -0.108, -0.514], [-0.345, -1.673, 2.170], [-0.883, 4.892, 3.631]],
  "species": ["Mo", "Pd", "Be", "Be"],
  "frac_coords": [[0.500, 0.500, 0.500], [0.500, 0.500, 0.000], [0.000, 0.000, 0.226], [0.000, 0.000, 0.774]],
  "polymorph_energy_ev_per_atom": 0.000,
  "volume_a3_per_cell": 46.97,
  "delta_e_f_ev_per_atom": -0.25,
  "magmom_total_mub_per_cell": 0.00,
  "crystal_system": "tetragonal"
}

{
  "formula": "TaTcP",
  "functional": "GGA-PBE",
  "state": "optimized geometry",
  "lattice_angstrom": [[2.080, -3.602, 0.000], [2.080, 3.602, 0.000], [0.000, 0.000, 3.001]],
  "species": ["Ta", "Tc", "P"],
  "frac_coords": [[0.333, 0.667, 0.000], [0.667, 0.333, 0.500], [0.000, 0.000, 0.500]],
  "polymorph_energy_ev_per_atom": 0.160,
  "volume_a3_per_cell": 44.96,
  "delta_e_f_ev_per_atom": -0.41,
  "magmom_total_mub_per_cell": 0.00,
  "crystal_system": "hexagonal"
}

{
  "formula": "Mg2GaAgO",
  "functional": "GGA-PBE",
  "state": "optimized geometry",
  "lattice_angstrom": [[4.021, 0.000, 0.000], [0.000, 5.180, 0.000], [0.000, 0.000, 4.021]],
  "species": ["Ga", "Mg", "Mg", "O", "Ag"],
  "frac_coords": [[0.500, 0.500, 0.500], [0.500, 0.000, 0.000], [0.000, 0.000, 0.500], [0.000, 0.000, 0.000], [0.000, 0.500, 0.000]],
  "volume_a3_per_cell": 83.77,
  "magmom_total_mub_per_cell": 0.00,
  "crystal_system": "tetragonal",
  "raw_formation_energy_ev_per_atom": -0.755
}

{
  "formula": "Cr2AgMo",
  "functional": "GGA-PBE",
  "state": "optimized geometry",
  "lattice_angstrom": [[-0.005, -0.057, -2.640], [-2.379, -0.742, 0.872], [-2.658, 8.321, -0.174]],
  "species": ["Cr", "Cr", "Mo", "Ag"],
  "frac_coords": [[0.000, 0.000, 0.486], [0.000, 0.000, 0.014], [0.500, 0.500, 0.250], [0.500, 0.500, 0.750]],
  "polymorph_energy_ev_per_atom": 0.062,
  "volume_a3_per_cell": 57.66,
  "delta_e_f_ev_per_atom": 0.41,
  "magmom_total_mub_per_cell": 0.00,
  "crystal_system": "orthorhombic"
}

{
  "formula": "ReNi2Os",
  "functional": "GGA-PBE",
  "state": "optimized geometry",
  "lattice_angstrom": [[-2.940, 2.964, 0.484], [-2.936, 0.550, -2.957], [-3.984, -1.097, 0.764]],
  "species": ["Ni", "Ni", "Re", "Os"],
  "frac_coords": [[0.250, 0.250, 0.250], [0.000, 0.000, 0.000], [0.750, 0.750, 0.750], [0.500, 0.500, 0.500]],
  "polymorph_energy_ev_per_atom": 0.224,
  "volume_a3_per_cell": 52.49,
  "delta_e_f_ev_per_atom": 0.23,
  "magmom_total_mub_per_cell": 0.00,
  "crystal_system": "cubic"
}

{
  "formula": "BaAlHg2",
  "functional": "GGA-PBE",
  "state": "optimized geometry",
  "lattice_angstrom": [[-1.194, 4.587, -0.262], [-3.942, 1.297, -2.305], [-4.941, 1.444, 4.320]],
  "species": ["Al", "Ba", "Hg", "Hg"],
  "frac_coords": [[0.750, 0.750, 0.750], [0.250, 0.250, 0.250], [0.035, 0.035, 0.895], [0.465, 0.465, 0.605]],
  "volume_a3_per_cell": 119.51,
  "delta_e_f_ev_per_atom": -0.29,
  "magmom_total_mub_per_cell": 0.00,
  "crystal_system": "monoclinic"
}